(1)
Here is a PBEsol-optimized structure of CaTmRh2 from the Alexandria database. Energies are from meta-GGA SCAN.

Cell: 4.7018 4.7018 4.7018 Å, 60.00 60.00 60.00°
Last column: nearest neighbours and their distance in Å.
Atoms (fractional coordinates):
1 Ca 0.0000 0.0000 0.0000  8 Rh 2.88
2 Rh 0.7500 0.7500 0.7500  4 Tm 2.88, 4 Ca 2.88
3 Rh 0.2500 0.2500 0.2500  4 Ca 2.88, 4 Tm 2.88
4 Tm 0.5000 0.5000 0.5000  8 Rh 2.88

SG: Fm-3m
E_form: -70 kJ/mol of atoms
total DFT energy (no corrections): -131.95 eV/f.u.
total magnetic moment: 0.00 Bohr magnetons per cell
density of states at the Fermi level: 1.5 states/eV/cell

(2)
Here is a PBEsol-optimized structure of KZrTa2 from the Alexandria database. Energies are from meta-GGA SCAN.

Cell: 2.8720 5.5210 6.3494 Å, 115.77 103.07 90.00°
Last column: nearest neighbours and their distance in Å.
Atoms (fractional coordinates):
1 K 0.0000 0.5000 0.0000  2 K 2.87, 4 Zr 3.11
2 Ta 0.7754 0.7754 0.5508  2 Zr 2.87, 6 Ta 2.87-3.16
3 Ta 0.2246 0.2246 0.4492  2 Zr 2.87, 6 Ta 2.87-3.16
4 Zr 0.5000 0.0000 0.0000  4 Ta 2.87, 2 Zr 2.87, 4 K 3.11

SG: Immm
E_form: 114 kJ/mol of atoms
total DFT energy (no corrections): -167.48 eV/f.u.
total magnetic moment: 0.00 Bohr magnetons per cell
density of states at the Fermi level: 4.4 states/eV/cell

(3)
Here is a PBEsol-optimized structure of TaFe4Ir from the Alexandria database. Energies are from meta-GGA SCAN.

Cell: 4.6746 4.6746 4.6746 Å, 60.00 60.00 60.00°
Last column: nearest neighbours and their distance in Å.
Atoms (fractional coordinates):
1 Fe 0.8746 0.3751 0.3751  6 Fe 2.33-2.34
2 Fe 0.3751 0.3751 0.8746  6 Fe 2.33-2.34
3 Fe 0.3751 0.3751 0.3751  6 Fe 2.33-2.34
4 Fe 0.3751 0.8746 0.3751  6 Fe 2.33-2.34
5 Ta 0.0000 0.0000 0.0000  12 Fe 2.74, 4 Ir 2.86
6 Ir 0.7500 0.7500 0.7500  12 Fe 2.74, 4 Ta 2.86

SG: F-43m
E_form: -20 kJ/mol of atoms
total DFT energy (no corrections): -211.42 eV/f.u.
total magnetic moment: 8.48 Bohr magnetons per cell
density of states at the Fermi level: 5.6 states/eV/cell

(4)
Here is a PBEsol-optimized structure of ReNi from the Alexandria database. Energies are from meta-GGA SCAN.

Cell: 3.7083 3.7083 4.4949 Å, 114.36 114.36 90.00°
Last column: nearest neighbours and their distance in Å.
Atoms (fractional coordinates):
1 Re 0.0000 0.0000 0.0000  4 Re 2.60, 8 Ni 2.60-2.62
2 Re 0.2500 0.7500 0.5000  8 Ni 2.60-2.62, 4 Re 2.60
3 Ni 0.5000 0.5000 0.0000  8 Re 2.60-2.62, 4 Ni 2.60
4 Ni 0.7500 0.2500 0.5000  4 Ni 2.60, 8 Re 2.60-2.62

SG: I4_1/amd
E_form: -1 kJ/mol of atoms
total DFT energy (no corrections): -87.28 eV/f.u.
total magnetic moment: 0.00 Bohr magnetons per cell
density of states at the Fermi level: 2.5 states/eV/cell

(5)
Here is a PBEsol-optimized structure of KNiTe2 from the Alexandria database. Energies are from meta-GGA SCAN.

Cell: 3.7423 6.0209 6.0209 Å, 63.86 71.89 71.89°
Last column: nearest neighbours and their distance in Å.
Atoms (fractional coordinates):
1 Te 0.8304 0.1696 0.1696  2 Ni 2.47
2 Te 0.1696 0.8304 0.8304  2 Ni 2.47
3 Ni 0.5000 0.0000 0.0000  4 Te 2.47
4 K 0.0000 0.5000 0.5000  8 Te 3.57-3.66, 4 Ni 3.69, 2 K 3.74

SG: Immm
total DFT energy (no corrections): -100.72 eV/f.u.
E_form (uncorrected): -0.428 eV/atom
total magnetic moment: 0.70 Bohr magnetons per cell
density of states at the Fermi level: 1.3 states/eV/cell

(6)
Here is a PBEsol-optimized structure of LiY4P from the Alexandria database. Energies are from meta-GGA SCAN.

Cell: 6.1705 6.1705 6.1705 Å, 60.00 60.00 60.00°
Last column: nearest neighbours and their distance in Å.
Atoms (fractional coordinates):
1 P 0.0000 0.0000 0.0000  12 Y 3.62, 4 Li 3.78
2 Li 0.7500 0.7500 0.7500  12 Y 3.62, 4 P 3.78
3 Y 0.3743 0.3743 0.8771  6 Y 3.07-3.10
4 Y 0.8771 0.3743 0.3743  6 Y 3.07-3.10
5 Y 0.3743 0.8771 0.3743  6 Y 3.07-3.10
6 Y 0.3743 0.3743 0.3743  6 Y 3.07-3.10

SG: F-43m
E_form: 52 kJ/mol of atoms
total DFT energy (no corrections): -120.91 eV/f.u.
total magnetic moment: 1.00 Bohr magnetons per cell
density of states at the Fermi level: 5.3 states/eV/cell

(7)
Here is a PBEsol-optimized structure of K2SnAu2S4 from the Alexandria database. Energies are from meta-GGA SCAN.

Cell: 7.1872 8.1655 9.0632 Å, 72.12 83.00 69.14°
Last column: nearest neighbours and their distance in Å.
Atoms (fractional coordinates):
1 Au 0.7352 0.3292 0.4200  2 S 2.29
2 Au 0.2648 0.6708 0.5800  2 S 2.29
3 Au 0.5249 0.7186 0.8261  2 S 2.29
4 Au 0.4751 0.2814 0.1739  2 S 2.29
5 Sn 0.6228 0.2754 0.8080  4 S 2.41-2.44
6 Sn 0.3772 0.7246 0.1920  4 S 2.41-2.44
7 S 0.7863 0.5024 0.7467  1 Au 2.29, 1 Sn 2.43
8 S 0.7323 0.5832 0.2213  1 Au 2.29, 1 Sn 2.41
9 S 0.2876 0.9264 0.9323  1 Au 2.29, 1 Sn 2.43
10 S 0.2677 0.4168 0.7787  1 Au 2.29, 1 Sn 2.41
11 S 0.7124 0.0736 0.0677  1 Au 2.29, 1 Sn 2.43
12 S 0.7578 0.0842 0.6332  1 Au 2.29, 1 Sn 2.44
13 S 0.2137 0.4976 0.2533  1 Au 2.29, 1 Sn 2.43
14 S 0.2422 0.9158 0.3668  1 Au 2.29, 1 Sn 2.44
15 K 0.2202 0.1836 0.5752  4 S 3.15-3.26
16 K 0.9696 0.7447 0.9204  7 S 3.16-3.52, 1 Au 3.50
17 K 0.0304 0.2553 0.0796  7 S 3.16-3.52, 1 Au 3.50
18 K 0.7798 0.8164 0.4248  4 S 3.15-3.26

SG: P-1
total DFT energy (no corrections): -236.52 eV/f.u.
E_form (uncorrected): -0.791 eV/atom
total magnetic moment: 0.00 Bohr magnetons per cell
density of states at the Fermi level: 0.0 states/eV/cell

(8)
Here is a PBEsol-optimized structure of CsScW2O8 from the Alexandria database. Energies are from meta-GGA SCAN.

Cell: 5.8580 5.8580 7.9916 Å, 90.00 90.00 120.00°
Last column: nearest neighbours and their distance in Å.
Atoms (fractional coordinates):
1 O 0.1649 0.3297 0.8451  1 W 1.80
2 O 0.1649 0.8351 0.8451  1 W 1.80
3 O 0.8351 0.1649 0.1549  1 W 1.80
4 O 0.6703 0.8351 0.8451  1 W 1.80
5 O 0.6667 0.3333 0.4443  1 W 1.75
6 O 0.8351 0.6703 0.1549  1 W 1.80
7 O 0.3333 0.6667 0.5557  1 W 1.75
8 O 0.3297 0.1649 0.1549  1 W 1.80
9 Cs 0.0000 0.0000 0.5000  12 O 3.23-3.41
10 Sc 0.0000 0.0000 0.0000  6 O 2.08
11 W 0.3333 0.6667 0.7751  4 O 1.75-1.80
12 W 0.6667 0.3333 0.2249  4 O 1.75-1.80

SG: P-3m1
total DFT energy (no corrections): -273.29 eV/f.u.
E_form (uncorrected): -2.668 eV/atom
total magnetic moment: 0.00 Bohr magnetons per cell
density of states at the Fermi level: 0.0 states/eV/cell

(9)
Here is a PBEsol-optimized structure of TeS7Br2 from the Alexandria database. Energies are from meta-GGA SCAN.

Cell: 8.8255 9.5555 13.1438 Å, 90.00 90.00 90.00°
Last column: nearest neighbours and their distance in Å.
Atoms (fractional coordinates):
1 S 0.9362 0.8547 0.7207  2 S 2.05-2.08
2 S 0.4362 0.6453 0.2207  2 S 2.05-2.08
3 S 0.0343 0.6679 0.9714  1 S 2.00
4 S 0.2500 0.2505 0.2253  2 S 2.05
5 S 0.4656 0.2431 0.8984  2 S 2.00-2.08
6 S 0.4656 0.7431 0.6016  2 S 2.00-2.08
7 S 0.9656 0.7569 0.1016  2 S 2.00-2.08
8 S 0.9656 0.2569 0.3984  2 S 2.00-2.08
9 S 0.9362 0.3547 0.7793  2 S 2.05-2.08
10 S 0.0343 0.1679 0.5286  1 S 2.00
11 S 0.4657 0.1679 0.5286  1 S 2.00
12 S 0.5638 0.3547 0.7793  2 S 2.05-2.08
13 S 0.5344 0.7569 0.1016  2 S 2.00-2.08
14 S 0.5343 0.3321 0.0286  1 S 2.00
15 S 0.0638 0.1453 0.2793  2 S 2.05-2.08
16 S 0.7500 0.2495 0.7253  2 S 2.05
17 S 0.5638 0.8547 0.7207  2 S 2.05-2.08
18 S 0.9657 0.3321 0.0286  1 S 2.00
19 S 0.0344 0.2431 0.8984  2 S 2.00-2.08
20 S 0.0344 0.7431 0.6016  2 S 2.00-2.08
21 S 0.4657 0.6679 0.9714  1 S 2.00
22 S 0.0638 0.6453 0.2207  2 S 2.05-2.08
23 S 0.5343 0.8321 0.4714  1 S 2.00
24 S 0.7500 0.7495 0.7747  2 S 2.05
25 S 0.9657 0.8321 0.4714  1 S 2.00
26 S 0.5344 0.2569 0.3984  2 S 2.00-2.08
27 S 0.4362 0.1453 0.2793  2 S 2.05-2.08
28 S 0.2500 0.7505 0.2747  2 S 2.05
29 Te 0.7500 0.1955 0.1024  2 S 2.50, 2 Br 2.57-2.71
30 Te 0.2500 0.8045 0.8976  2 S 2.50, 2 Br 2.57-2.71
31 Te 0.7500 0.6955 0.3976  2 S 2.50, 2 Br 2.57-2.71
32 Te 0.2500 0.3045 0.6024  2 S 2.50, 2 Br 2.57-2.71
33 Br 0.2500 0.5707 0.7808  1 Te 2.71
34 Br 0.2500 0.4883 0.4592  1 Te 2.57
35 Br 0.7500 0.5117 0.5408  1 Te 2.57
36 Br 0.2500 0.0707 0.7192  1 Te 2.71
37 Br 0.7500 0.9293 0.2808  1 Te 2.71
38 Br 0.2500 0.9883 0.0408  1 Te 2.57
39 Br 0.7500 0.4293 0.2192  1 Te 2.71
40 Br 0.7500 0.0117 0.9592  1 Te 2.57

SG: Pnma
total DFT energy (no corrections): -144.57 eV/f.u.
E_form (uncorrected): -0.100 eV/atom
total magnetic moment: 0.00 Bohr magnetons per cell
density of states at the Fermi level: 0.0 states/eV/cell

(10)
Here is a PBEsol-optimized structure of In2NiMo from the Alexandria database. Energies are from meta-GGA SCAN.

Cell: 4.0996 4.0996 4.8945 Å, 114.76 114.76 90.00°
Last column: nearest neighbours and their distance in Å.
Atoms (fractional coordinates):
1 Ni 0.0000 0.0000 0.0000  8 In 2.84, 4 Mo 2.90
2 Mo 0.5000 0.5000 0.0000  8 In 2.84, 4 Ni 2.90
3 In 0.7500 0.2500 0.5000  4 Mo 2.84, 4 Ni 2.84, 4 In 2.90
4 In 0.2500 0.7500 0.5000  4 Mo 2.84, 4 Ni 2.84, 4 In 2.90

SG: I4/mmm
E_form: 39 kJ/mol of atoms
total DFT energy (no corrections): -116.21 eV/f.u.
total magnetic moment: 0.00 Bohr magnetons per cell
density of states at the Fermi level: 3.3 states/eV/cell

(11)
Here is a PBEsol-optimized structure of Cr2FeAuCl from the Alexandria database. Energies are from meta-GGA SCAN.

Cell: 4.7484 4.9828 4.9828 Å, 90.00 90.00 90.00°
Last column: nearest neighbours and their distance in Å.
Atoms (fractional coordinates):
1 Fe 0.5000 0.0000 0.0000  2 Au 2.37
2 Cl 0.5000 0.5000 0.5000  8 Cr 3.44, 4 Fe 3.52
3 Au 0.0000 0.0000 0.0000  2 Fe 2.37, 4 Cr 2.49
4 Cr 0.0000 0.0000 0.5000  2 Au 2.49
5 Cr 0.0000 0.5000 0.0000  2 Au 2.49

SG: P4/mmm
total DFT energy (no corrections): -128.40 eV/f.u.
E_form (uncorrected): 0.728 eV/atom
total magnetic moment: 12.41 Bohr magnetons per cell
density of states at the Fermi level: 6.4 states/eV/cell

(12)
Here is a PBEsol-optimized structure of Y2MnMo from the Alexandria database. Energies are from meta-GGA SCAN.

Cell: 4.8914 4.8914 4.8914 Å, 60.00 60.00 60.00°
Last column: nearest neighbours and their distance in Å.
Atoms (fractional coordinates):
1 Y 0.7500 0.7500 0.7500  4 Mn 3.00, 4 Mo 3.00
2 Y 0.2500 0.2500 0.2500  4 Mn 3.00, 4 Mo 3.00
3 Mn 0.5000 0.5000 0.5000  8 Y 3.00
4 Mo 0.0000 0.0000 0.0000  8 Y 3.00

SG: Fm-3m
E_form: 28 kJ/mol of atoms
total DFT energy (no corrections): -107.68 eV/f.u.
total magnetic moment: 4.95 Bohr magnetons per cell
density of states at the Fermi level: 4.3 states/eV/cell

(13)
Here is a PBEsol-optimized structure of LaMnW2 from the Alexandria database. Energies are from meta-GGA SCAN.

Cell: 2.8702 2.8702 9.7990 Å, 81.58 81.58 60.00°
Last column: nearest neighbours and their distance in Å.
Atoms (fractional coordinates):
1 Mn 0.0000 0.0000 0.0000  6 W 2.55
2 W 0.7337 0.7337 0.7988  3 Mn 2.55
3 W 0.2663 0.2663 0.2012  3 Mn 2.55
4 La 0.5000 0.5000 0.5000  6 La 2.87

SG: R-3m
E_form: 77 kJ/mol of atoms
total DFT energy (no corrections): -197.53 eV/f.u.
total magnetic moment: 2.17 Bohr magnetons per cell
density of states at the Fermi level: 3.9 states/eV/cell

(14)
Here is a PBEsol-optimized structure of CrFeSe2 from the Alexandria database. Energies are from meta-GGA SCAN.

Cell: 4.1864 4.1864 4.1864 Å, 60.00 60.00 60.00°
Last column: nearest neighbours and their distance in Å.
Atoms (fractional coordinates):
1 Se 0.7500 0.7500 0.7500  4 Cr 2.56, 4 Fe 2.56
2 Se 0.2500 0.2500 0.2500  4 Fe 2.56, 4 Cr 2.56
3 Fe 0.0000 0.0000 0.0000  8 Se 2.56
4 Cr 0.5000 0.5000 0.5000  8 Se 2.56

SG: Fm-3m
total DFT energy (no corrections): -75.73 eV/f.u.
E_form (uncorrected): 0.236 eV/atom
total magnetic moment: 0.36 Bohr magnetons per cell
density of states at the Fermi level: 1.7 states/eV/cell

(15)
Here is a PBEsol-optimized structure of TcMo2W from the Alexandria database. Energies are from meta-GGA SCAN.

Cell: 2.7025 2.7025 8.7723 Å, 90.00 90.00 109.53°
Last column: nearest neighbours and their distance in Å.
Atoms (fractional coordinates):
1 Mo 0.0000 0.0000 0.7466  2 Tc 2.67, 4 Mo 2.70, 2 W 2.71
2 Mo 0.0000 0.0000 0.2534  2 Tc 2.67, 4 Mo 2.70, 2 W 2.71
3 Tc 0.5000 0.5000 0.5000  4 Mo 2.67, 4 Tc 2.70
4 W 0.5000 0.5000 0.0000  4 W 2.70, 4 Mo 2.71

SG: Cmmm
E_form: 4 kJ/mol of atoms
total DFT energy (no corrections): -174.33 eV/f.u.
total magnetic moment: 0.00 Bohr magnetons per cell
density of states at the Fermi level: 3.3 states/eV/cell

(16)
Here is a PBEsol-optimized structure of BAuIN2 from the Alexandria database. Energies are from meta-GGA SCAN.

Cell: 3.8478 3.8478 7.6726 Å, 90.00 90.00 90.00°
Last column: nearest neighbours and their distance in Å.
Atoms (fractional coordinates):
1 I 0.0000 0.0000 0.5000  4 B 2.72
2 N 0.5000 0.0000 0.0000  2 Au 1.92
3 N 0.0000 0.5000 0.0000  2 Au 1.92
4 B 0.5000 0.5000 0.5000  4 I 2.72
5 Au 0.0000 0.0000 0.0000  4 N 1.92

SG: P4/mmm
total DFT energy (no corrections): -121.19 eV/f.u.
E_form (uncorrected): 2.144 eV/atom
total magnetic moment: 3.11 Bohr magnetons per cell
density of states at the Fermi level: 2.0 states/eV/cell

(17)
Here is a PBEsol-optimized structure of MnInBr2 from the Alexandria database. Energies are from meta-GGA SCAN.

Cell: 3.4585 5.3234 5.3234 Å, 90.00 90.00 90.00°
Last column: nearest neighbours and their distance in Å.
Atoms (fractional coordinates):
1 In 0.5000 0.5000 0.5000  8 Br 3.17, 2 In 3.46
2 Br 0.0000 0.0000 0.5000  4 In 3.17, 4 Mn 3.17, 2 Br 3.46
3 Br 0.0000 0.5000 0.0000  4 In 3.17, 4 Mn 3.17, 2 Br 3.46
4 Mn 0.5000 0.0000 0.0000  8 Br 3.17, 2 Mn 3.46

SG: P4/mmm
total DFT energy (no corrections): -91.48 eV/f.u.
E_form (uncorrected): -0.230 eV/atom
total magnetic moment: 5.10 Bohr magnetons per cell
density of states at the Fermi level: 1.6 states/eV/cell

(18)
Here is a PBEsol-optimized structure of ReOsPt2 from the Alexandria database. Energies are from meta-GGA SCAN.

Cell: 3.8213 3.8213 4.8035 Å, 113.44 113.44 90.00°
Last column: nearest neighbours and their distance in Å.
Atoms (fractional coordinates):
1 Os 0.0000 0.0000 0.0000  4 Re 2.70, 8 Pt 2.76
2 Pt 0.7500 0.2500 0.5000  4 Pt 2.70, 4 Re 2.76, 4 Os 2.76
3 Pt 0.2500 0.7500 0.5000  4 Pt 2.70, 4 Os 2.76, 4 Re 2.76
4 Re 0.5000 0.5000 0.0000  4 Os 2.70, 8 Pt 2.76

SG: I4/mmm
E_form: 12 kJ/mol of atoms
total DFT energy (no corrections): -282.87 eV/f.u.
total magnetic moment: 0.00 Bohr magnetons per cell
density of states at the Fermi level: 4.2 states/eV/cell

(19)
Here is a PBEsol-optimized structure of RbNa2Ru from the Alexandria database. Energies are from meta-GGA SCAN.

Cell: 5.3755 5.3755 5.3755 Å, 60.00 60.00 60.00°
Last column: nearest neighbours and their distance in Å.
Atoms (fractional coordinates):
1 Rb 0.0000 0.0000 0.0000  8 Na 3.29
2 Ru 0.5000 0.5000 0.5000  8 Na 3.29
3 Na 0.2500 0.2500 0.2500  4 Ru 3.29, 4 Rb 3.29
4 Na 0.7500 0.7500 0.7500  4 Ru 3.29, 4 Rb 3.29

SG: Fm-3m
E_form: 87 kJ/mol of atoms
total DFT energy (no corrections): -60.41 eV/f.u.
total magnetic moment: 2.30 Bohr magnetons per cell
density of states at the Fermi level: 1.9 states/eV/cell

(20)
Here is a PBEsol-optimized structure of Ca3ZnO from the Alexandria database. Energies are from meta-GGA SCAN.

Cell: 4.7711 4.7711 4.7711 Å, 90.00 90.00 90.00°
Last column: nearest neighbours and their distance in Å.
Atoms (fractional coordinates):
1 O 0.0000 0.0000 0.0000  6 Ca 2.39
2 Ca 0.5000 0.0000 0.0000  2 O 2.39
3 Ca 0.0000 0.0000 0.5000  2 O 2.39
4 Ca 0.0000 0.5000 0.0000  2 O 2.39
5 Zn 0.5000 0.5000 0.5000  12 Ca 3.37

SG: Pm-3m
total DFT energy (no corrections): -55.48 eV/f.u.
E_form (uncorrected): -1.349 eV/atom
total magnetic moment: 0.08 Bohr magnetons per cell
density of states at the Fermi level: 3.1 states/eV/cell